A plane-wave DFT calculation with PBE with a Hubbard U was carried out for a geometry-optimized VH12Cl3O6 structure.

Cell lengths 6.5465, 6.4389, 11.9040 Å; angles 90.00, 98.00, 90.00 degrees
Space group P2_1/c (No. 14)
Symmetry-distinct sites (fractional):
V (0.0000, 0.0000, 0.0000) (multiplicity 2)
H (0.0204, 0.1334, 0.6187) (multiplicity 4)
H (0.2109, 0.6449, 0.1939) (multiplicity 4)
H (0.2137, 0.6540, 0.9519) (multiplicity 4)
H (0.2154, 0.0959, 0.8295) (multiplicity 4)
H (0.3153, 0.2351, 0.9392) (multiplicity 4)
H (0.3367, 0.0478, 0.6653) (multiplicity 4)
Cl (0.2662, 0.5355, 0.6595) (multiplicity 4)
Cl (0.5000, 0.0000, 0.5000) (multiplicity 2)
O (0.0773, 0.7222, 0.9336) (multiplicity 4)
O (0.1990, 0.1440, 0.9084) (multiplicity 4)
O (0.2133, 0.0096, 0.6996) (multiplicity 4)

Computed properties:
- Calculated total energy: -214.84 eV for the cell shown
- N(E_F): 0.000 states/eV/f.u.